one) The following is a DFT calculation (GGA-PBE) of a geometry-optimized CdIrI2 structure.

a b c (Å): 5.2082 5.2082 5.2082
angles (deg): 60.00 60.00 60.00
With the nearest neighbours (Å) after each atom.
Element x y z (fractional)
Cd 0.0000 0.0000 0.0000  8 I 3.19
Ir 0.5000 0.5000 0.5000  8 I 3.19
I 0.2500 0.2500 0.2500  4 Cd 3.19, 4 Ir 3.19
I 0.7500 0.7500 0.7500  4 Cd 3.19, 4 Ir 3.19

Calculated values
Crystal system   cubic

two) The following is a DFT calculation (GGA-PBE) of a geometry-optimized CdIrI2 structure.

a b c (Å): 7.6691 7.6691 7.6691
angles (deg): 126.93 126.93 78.37
With the nearest neighbours (Å) after each atom.
Element x y z (fractional)
Cd 0.0000 0.0000 0.0000  4 I 3.12
Cd 0.7500 0.2500 0.5000  4 I 3.12
Ir 0.2500 0.7500 0.5000  4 I 2.60
Ir 0.5000 0.5000 0.0000  4 I 2.60
I 0.1886 0.6250 0.0636  2 Ir 2.60
I 0.3750 0.4386 0.5636  2 Ir 2.60
I 0.5614 0.1250 0.9364  2 Ir 2.60
I 0.8750 0.8114 0.4364  2 Ir 2.60

Calculated values
Crystal system   tetragonal

Most stable: two)

one) The following is a DFT calculation (GGA-PBE) of a geometry-optimized CdIr2I structure.

a b c (Å): 9.2953 9.2953 9.2953
angles (deg): 152.74 152.74 38.94
With the nearest neighbours (Å) after each atom.
Element x y z (fractional)
Cd 0.0000 0.0000 0.0000  4 Ir 2.78, 4 I 3.10
Cd 0.7500 0.2500 0.5000  4 Ir 2.78, 4 I 3.10
Ir 0.1734 0.6250 0.0484  2 I 2.60, 2 Cd 2.78, 2 Ir 2.81
Ir 0.3750 0.4234 0.5484  2 I 2.60, 2 Cd 2.78, 2 Ir 2.81
Ir 0.5766 0.1250 0.9516  2 I 2.60, 2 Cd 2.78, 2 Ir 2.81
Ir 0.8750 0.8266 0.4516  2 I 2.60, 2 Cd 2.78, 2 Ir 2.81
I 0.2500 0.7500 0.5000  4 Ir 2.60
I 0.5000 0.5000 0.0000  4 Ir 2.60

Calculated values
Crystal system   tetragonal

two) The following is a DFT calculation (GGA-PBE) of a geometry-optimized CdIr2I structure.

a b c (Å): 4.7030 4.7030 4.7030
angles (deg): 60.00 60.00 60.00
With the nearest neighbours (Å) after each atom.
Element x y z (fractional)
Cd 0.0000 0.0000 0.0000  8 Ir 2.88
Ir 0.2500 0.2500 0.2500  4 Cd 2.88, 4 I 2.88
Ir 0.7500 0.7500 0.7500  4 Cd 2.88, 4 I 2.88
I 0.5000 0.5000 0.5000  8 Ir 2.88

Calculated values
Crystal system   cubic

Most stable: one)

one) The following is a DFT calculation (GGA-PBE) of a geometry-optimized CdIrIN2 structure.

a b c (Å): 4.1229 4.1229 6.6998
angles (deg): 90.00 90.00 90.00
With the nearest neighbours (Å) after each atom.
Element x y z (fractional)
Cd 0.0000 0.0000 0.0000  4 N 2.06
Ir 0.5000 0.5000 0.5000  4 I 2.92
I 0.0000 0.0000 0.5000  4 Ir 2.92
N 0.0000 0.5000 0.0000  2 Cd 2.06
N 0.5000 0.0000 0.0000  2 Cd 2.06

Calculated values
Crystal system   tetragonal

two) The following is a DFT calculation (GGA-PBE) of a geometry-optimized CdIrIN2 structure.

a b c (Å): 3.8845 3.8845 7.8605
angles (deg): 90.00 90.00 90.00
With the nearest neighbours (Å) after each atom.
Element x y z (fractional)
Cd 0.0000 0.0000 0.0000  4 I 2.75
Ir 0.5000 0.5000 0.5000  4 N 1.94
I 0.5000 0.5000 0.0000  4 Cd 2.75
N 0.0000 0.5000 0.5000  2 Ir 1.94
N 0.5000 0.0000 0.5000  2 Ir 1.94

Calculated values
Crystal system   tetragonal

Most stable: two)

one) The following is a DFT calculation (GGA-PBE) of a geometry-optimized CdIrIO2 structure.

a b c (Å): 4.0439 4.0439 6.8058
angles (deg): 90.00 90.00 90.00
With the nearest neighbours (Å) after each atom.
Element x y z (fractional)
Cd 0.0000 0.0000 0.0000  4 O 2.02
Ir 0.5000 0.5000 0.5000  4 I 2.86
I 0.0000 0.0000 0.5000  4 Ir 2.86
O 0.0000 0.5000 0.0000  2 Cd 2.02
O 0.5000 0.0000 0.0000  2 Cd 2.02

Calculated values
Crystal system   tetragonal

two) The following is a DFT calculation (GGA-PBE) of a geometry-optimized CdIrIO2 structure.

a b c (Å): 3.8982 3.8982 7.8174
angles (deg): 90.00 90.00 90.00
With the nearest neighbours (Å) after each atom.
Element x y z (fractional)
Cd 0.0000 0.0000 0.0000  4 I 2.76
Ir 0.5000 0.5000 0.5000  4 O 1.95
I 0.5000 0.5000 0.0000  4 Cd 2.76
O 0.0000 0.5000 0.5000  2 Ir 1.95
O 0.5000 0.0000 0.5000  2 Ir 1.95

Calculated values
Crystal system   tetragonal

Most stable: two)

one) The following is a DFT calculation (GGA-PBE) of a geometry-optimized CdIrI2O structure.

a b c (Å): 5.7125 5.7125 3.7716
angles (deg): 90.00 90.00 90.00
With the nearest neighbours (Å) after each atom.
Element x y z (fractional)
Cd 0.0000 0.0000 0.0000  8 I 3.42, 2 Cd 3.77
Ir 0.5000 0.5000 0.5000  2 O 1.89
I 0.0000 0.5000 0.5000  2 Ir 2.86
I 0.5000 0.0000 0.5000  2 Ir 2.86
O 0.5000 0.5000 0.0000  2 Ir 1.89

Calculated values
Crystal system   tetragonal

two) The following is a DFT calculation (GGA-PBE) of a geometry-optimized CdIrI2O structure.

a b c (Å): 5.8365 5.8365 3.9715
angles (deg): 90.00 90.00 90.00
With the nearest neighbours (Å) after each atom.
Element x y z (fractional)
Cd 0.0000 0.0000 0.0000  2 O 1.99
Ir 0.5000 0.5000 0.5000  8 I 3.53
I 0.0000 0.5000 0.0000  2 Cd 2.92
I 0.5000 0.0000 0.0000  2 Cd 2.92
O 0.0000 0.0000 0.5000  2 Cd 1.99

Calculated values
Crystal system   tetragonal

Most stable: one)

one) The following is a DFT calculation (GGA-PBE) of a geometry-optimized KCdI2O structure.

a b c (Å): 6.4622 6.4622 4.7853
angles (deg): 90.00 90.00 90.00
With the nearest neighbours (Å) after each atom.
Element x y z (fractional)
K 0.0000 0.0000 0.0000  2 O 2.39
Cd 0.5000 0.5000 0.5000  8 I 4.02
I 0.0000 0.5000 0.0000  2 K 3.23
I 0.5000 0.0000 0.0000  2 K 3.23
O 0.0000 0.0000 0.5000  2 K 2.39

Calculated values
Crystal system   tetragonal

two) The following is a DFT calculation (GGA-PBE) of a geometry-optimized KCdI2O structure.

a b c (Å): 6.1796 6.1796 4.2818
angles (deg): 90.00 90.00 90.00
With the nearest neighbours (Å) after each atom.
Element x y z (fractional)
K 0.0000 0.0000 0.0000  8 I 3.76
Cd 0.5000 0.5000 0.5000  2 O 2.14
I 0.0000 0.5000 0.5000  2 Cd 3.09
I 0.5000 0.0000 0.5000  2 Cd 3.09
O 0.5000 0.5000 0.0000  2 Cd 2.14

Calculated values
Crystal system   tetragonal

Most stable: two)

one) The following is a DFT calculation (GGA-PBE) of a geometry-optimized LiCdI3 structure.

a b c (Å): 8.3601 12.3169 7.6314
angles (deg): 90.00 90.00 90.00
With the nearest neighbours (Å) after each atom.
Element x y z (fractional)
Li 0.0000 0.0000 0.0000  2 I 2.84
Li 0.0000 0.5000 0.0000  2 I 2.84
Li 0.5000 0.0000 0.5000  2 I 2.84
Li 0.5000 0.5000 0.5000  2 I 2.84
Cd 0.1867 0.2500 0.4671  4 I 2.77-3.06
Cd 0.3133 0.7500 0.9671  4 I 2.77-3.06
Cd 0.6867 0.2500 0.0329  4 I 2.77-3.06
Cd 0.8133 0.7500 0.5329  4 I 2.77-3.06
I 0.0410 0.2500 0.1317  2 Cd 2.83-3.06
I 0.2033 0.0580 0.6559  1 Cd 2.77, 1 Li 2.84
I 0.2033 0.4420 0.6559  1 Cd 2.77, 1 Li 2.84
I 0.2967 0.5580 0.1559  1 Cd 2.77, 1 Li 2.84
I 0.2967 0.9420 0.1559  1 Cd 2.77, 1 Li 2.84
I 0.4590 0.7500 0.6318  2 Cd 2.83-3.06
I 0.5410 0.2500 0.3683  2 Cd 2.83-3.06
I 0.7033 0.0580 0.8441  1 Cd 2.77, 1 Li 2.84
I 0.7033 0.4420 0.8441  1 Cd 2.77, 1 Li 2.84
I 0.7967 0.5580 0.3441  1 Cd 2.77, 1 Li 2.84
I 0.7967 0.9420 0.3441  1 Cd 2.77, 1 Li 2.84
I 0.9590 0.7500 0.8682  2 Cd 2.83-3.06

Calculated values
Crystal system   orthorhombic

two) The following is a DFT calculation (GGA-PBE) of a geometry-optimized LiCdI3 structure.

a b c (Å): 7.8330 7.8330 12.4505
angles (deg): 93.79 93.79 32.46
With the nearest neighbours (Å) after each atom.
Element x y z (fractional)
Li 0.1587 0.1587 0.4004  5 I 2.85-3.12
Li 0.8413 0.8413 0.5996  5 I 2.85-3.12
Cd 0.4275 0.4275 0.2194  4 I 2.81-2.86
Cd 0.5725 0.5725 0.7806  4 I 2.81-2.86
I 0.1345 0.1345 0.9090  2 Cd 2.83
I 0.3486 0.3486 0.4223  3 Li 2.85-3.12, 1 Cd 2.86
I 0.3859 0.3859 0.7440  1 Cd 2.81, 2 Li 2.88
I 0.6141 0.6141 0.2560  1 Cd 2.81, 2 Li 2.88
I 0.6514 0.6514 0.5777  3 Li 2.85-3.12, 1 Cd 2.86
I 0.8655 0.8655 0.0910  2 Cd 2.83

Calculated values
Crystal system   monoclinic

Most stable: two)

one) The following is a DFT calculation (GGA-PBE) of a geometry-optimized LiCdIO2 structure.

a b c (Å): 4.0958 4.0958 5.2546
angles (deg): 90.00 90.00 90.00
With the nearest neighbours (Å) after each atom.
Element x y z (fractional)
Li 0.0000 0.0000 0.0000  4 O 2.05
Cd 0.5000 0.5000 0.5000  4 I 2.90
I 0.0000 0.0000 0.5000  2 Li 2.63, 4 Cd 2.90
O 0.0000 0.5000 0.0000  2 Li 2.05
O 0.5000 0.0000 0.0000  2 Li 2.05

Calculated values
Crystal system   tetragonal

two) The following is a DFT calculation (GGA-PBE) of a geometry-optimized LiCdIO2 structure.

a b c (Å): 4.2093 4.2093 6.6048
angles (deg): 90.00 90.00 90.00
With the nearest neighbours (Å) after each atom.
Element x y z (fractional)
Li 0.0000 0.0000 0.0000  4 I 2.98
Cd 0.5000 0.5000 0.5000  4 O 2.10
I 0.5000 0.5000 0.0000  4 Li 2.98, 2 Cd 3.30
O 0.0000 0.5000 0.5000  2 Cd 2.10
O 0.5000 0.0000 0.5000  2 Cd 2.10

Calculated values
Crystal system   tetragonal

Most stable: two)

one) The following is a DFT calculation (GGA-PBE) of a geometry-optimized LiCdI2O structure.

a b c (Å): 5.6002 5.6002 3.8787
angles (deg): 90.00 90.00 90.00
With the nearest neighbours (Å) after each atom.
Element x y z (fractional)
Li 0.0000 0.0000 0.0000  2 O 1.94
Cd 0.5000 0.5000 0.5000  8 I 3.41
I 0.0000 0.5000 0.0000  2 Li 2.80
I 0.5000 0.0000 0.0000  2 Li 2.80
O 0.0000 0.0000 0.5000  2 Li 1.94

Calculated values
Crystal system   tetragonal

two) The following is a DFT calculation (GGA-PBE) of a geometry-optimized LiCdI2O structure.

a b c (Å): 6.0300 6.0300 4.2039
angles (deg): 90.00 90.00 90.00
With the nearest neighbours (Å) after each atom.
Element x y z (fractional)
Li 0.0000 0.0000 0.0000  8 I 3.68
Cd 0.5000 0.5000 0.5000  2 O 2.10
I 0.0000 0.5000 0.5000  2 Cd 3.01
I 0.5000 0.0000 0.5000  2 Cd 3.01
O 0.5000 0.5000 0.0000  2 Cd 2.10

Calculated values
Crystal system   tetragonal

Most stable: two)

one) The following is a DFT calculation (GGA-PBE) of a geometry-optimized MgCdI3 structure.

a b c (Å): 5.7413 5.7413 5.7413
angles (deg): 90.00 90.00 90.00
With the nearest neighbours (Å) after each atom.
Element x y z (fractional)
Mg 0.0000 0.0000 0.0000  6 I 2.87
Cd 0.5000 0.5000 0.5000  12 I 4.06
I 0.0000 0.0000 0.5000  2 Mg 2.87
I 0.0000 0.5000 0.0000  2 Mg 2.87
I 0.5000 0.0000 0.0000  2 Mg 2.87

Calculated values
Crystal system   cubic

two) The following is a DFT calculation (GGA-PBE) of a geometry-optimized MgCdI3 structure.

a b c (Å): 8.8373 8.8373 11.8079
angles (deg): 98.48 98.48 28.35
With the nearest neighbours (Å) after each atom.
Element x y z (fractional)
Mg 0.0752 0.0752 0.4655  1 Mg 2.82, 4 I 3.12-3.14
Mg 0.9248 0.9248 0.5345  1 Mg 2.82, 4 I 3.12-3.14
Cd 0.4163 0.4163 0.2131  4 I 2.83-2.86
Cd 0.5837 0.5837 0.7869  4 I 2.83-2.86
I 0.1306 0.1306 0.9365  2 Cd 2.83
I 0.3205 0.3205 0.3910  1 Cd 2.86, 2 Mg 3.14
I 0.4171 0.4171 0.7223  1 Cd 2.84, 2 Mg 3.12
I 0.5829 0.5829 0.2777  1 Cd 2.84, 2 Mg 3.12
I 0.6795 0.6795 0.6090  1 Cd 2.86, 2 Mg 3.14
I 0.8694 0.8694 0.0635  2 Cd 2.83

Calculated values
Crystal system   monoclinic

Most stable: two)

one) The following is a DFT calculation (GGA-PBE) of a geometry-optimized MgCdIN2 structure.

a b c (Å): 4.3240 4.3240 6.0921
angles (deg): 90.00 90.00 90.00
With the nearest neighbours (Å) after each atom.
Element x y z (fractional)
Mg 0.0000 0.0000 0.0000  4 N 2.16
Cd 0.5000 0.5000 0.5000  4 I 3.06
I 0.0000 0.0000 0.5000  2 Mg 3.05, 4 Cd 3.06
N 0.0000 0.5000 0.0000  2 Mg 2.16
N 0.5000 0.0000 0.0000  2 Mg 2.16

Calculated values
Crystal system   tetragonal

two) The following is a DFT calculation (GGA-PBE) of a geometry-optimized MgCdIN2 structure.

a b c (Å): 4.3560 4.3560 6.4334
angles (deg): 90.00 90.00 90.00
With the nearest neighbours (Å) after each atom.
Element x y z (fractional)
Mg 0.0000 0.0000 0.0000  4 I 3.08
Cd 0.5000 0.5000 0.5000  4 N 2.18
I 0.5000 0.5000 0.0000  4 Mg 3.08, 2 Cd 3.22
N 0.0000 0.5000 0.5000  2 Cd 2.18
N 0.5000 0.0000 0.5000  2 Cd 2.18

Calculated values
Crystal system   tetragonal

Most stable: one)

one) The following is a DFT calculation (GGA-PBE) of a geometry-optimized MgCdI2O structure.

a b c (Å): 5.8604 5.8604 3.8200
angles (deg): 90.00 90.00 90.00
With the nearest neighbours (Å) after each atom.
Element x y z (fractional)
Mg 0.0000 0.0000 0.0000  2 O 1.91
Cd 0.5000 0.5000 0.5000  8 I 3.50, 2 Cd 3.82
I 0.0000 0.5000 0.0000  2 Mg 2.93
I 0.5000 0.0000 0.0000  2 Mg 2.93
O 0.0000 0.0000 0.5000  2 Mg 1.91

Calculated values
Crystal system   tetragonal

two) The following is a DFT calculation (GGA-PBE) of a geometry-optimized MgCdI2O structure.

a b c (Å): 5.9862 5.9862 4.0863
angles (deg): 90.00 90.00 90.00
With the nearest neighbours (Å) after each atom.
Element x y z (fractional)
Mg 0.0000 0.0000 0.0000  8 I 3.62
Cd 0.5000 0.5000 0.5000  2 O 2.04
I 0.0000 0.5000 0.5000  2 Cd 2.99
I 0.5000 0.0000 0.5000  2 Cd 2.99
O 0.5000 0.5000 0.0000  2 Cd 2.04

Calculated values
Crystal system   tetragonal

Most stable: one)

one) The following is a DFT calculation (GGA-PBE) of a geometry-optimized MgCdSb2I structure.

a b c (Å): 5.8647 5.8647 5.5124
angles (deg): 90.00 90.00 90.00
With the nearest neighbours (Å) after each atom.
Element x y z (fractional)
Mg 0.0000 0.0000 0.0000  2 I 2.76
Cd 0.5000 0.5000 0.0000  8 Sb 4.02, 4 Mg 4.15
Sb 0.0000 0.5000 0.5000  2 I 2.93
Sb 0.5000 0.0000 0.5000  2 I 2.93
I 0.0000 0.0000 0.5000  2 Mg 2.76, 4 Sb 2.93

Calculated values
Crystal system   tetragonal

two) The following is a DFT calculation (GGA-PBE) of a geometry-optimized MgCdSb2I structure.

a b c (Å): 5.5237 5.5237 5.6265
angles (deg): 90.00 90.00 90.00
With the nearest neighbours (Å) after each atom.
Element x y z (fractional)
Mg 0.0000 0.0000 0.0000  4 Sb 2.76, 2 I 2.81
Cd 0.5000 0.5000 0.5000  4 I 3.91, 8 Sb 3.94
Sb 0.0000 0.5000 0.0000  2 Mg 2.76
Sb 0.5000 0.0000 0.0000  2 Mg 2.76
I 0.0000 0.0000 0.5000  2 Mg 2.81

Calculated values
Crystal system   tetragonal

Most stable: two)